Ca2ScMn, optimized geometry, DFT PBE; size of the total moment = 0.97 μB/atom; DFT formation energy = 0.45 eV per atom
1.0
8.271 0.273 0.862
-3.388 4.070 0.232
1.469 1.050 3.526
Sc Mn Ca
1 1 2
Direct
0.500 0.500 0.000
0.000 0.500 0.500
0.500 0.000 0.500
0.000 0.000 0.000

=====

TbPrHo, optimized geometry, DFT PBE; size of the total moment = 0.00 μB/atom; DFT formation energy = 0.07 eV per atom
1.0
-3.493 -0.310 0.010
0.307 -3.315 4.636
-0.500 5.658 0.565
Tb Pr Ho
1 1 1
Direct
0.167 0.000 0.000
0.667 0.667 0.333
0.166 0.333 0.667

=====

Zr2Tl3NiS6, optimized geometry, DFT PBE; raw formation energy = -0.863 eV/atom; size of the total moment = 0.09 μB/atom
1.0
6.378 0.001 0.001
-3.187 5.525 0.001
-1.064 -1.843 7.794
S Tl Zr Ni
6 3 2 1
Direct
0.061 0.382 0.182
0.739 0.739 0.182
0.618 0.939 0.818
0.939 0.618 0.818
0.382 0.061 0.182
0.261 0.261 0.818
0.500 0.500 0.500
0.167 0.833 0.500
0.833 0.167 0.500
0.333 0.667 0.000
0.667 0.333 0.000
0.000 0.000 0.000

=====

La8AgIr5, optimized geometry, DFT PBE; size of the total moment = 0.00 μB/atom; DFT formation energy = -0.65 eV per atom
1.0
7.412 0.000 -2.661
-3.645 6.475 -2.607
-0.122 0.000 7.874
Ir La Ag
5 8 1
Direct
0.369 0.111 0.988
0.877 0.889 0.258
0.500 0.000 0.500
0.742 0.620 0.631
0.012 0.380 0.123
0.114 0.757 0.999
0.242 0.243 0.357
0.643 0.885 0.886
0.001 0.115 0.758
0.631 0.360 0.875
0.729 0.244 0.369
0.125 0.756 0.485
0.515 0.640 0.271
0.250 0.500 0.750

=====

CsPuSiS4, optimized geometry, DFT PBE; raw formation energy = -1.254 eV/atom; size of the total moment = 0.71 μB/atom
1.0
-0.447 6.459 0.627
-6.285 -0.210 -2.322
-2.873 -3.989 8.138
Si S Pu Cs
2 8 2 2
Direct
0.784 0.250 0.662
0.216 0.750 0.338
0.595 0.250 0.807
0.999 0.501 0.303
0.585 0.250 0.437
0.405 0.750 0.193
0.001 0.001 0.697
0.999 0.999 0.303
0.001 0.499 0.697
0.415 0.750 0.563
0.771 0.750 0.452
0.229 0.250 0.548
0.731 0.750 0.936
0.269 0.250 0.064

=====

Pr3SmTh3Se8, optimized geometry, DFT PBE; raw formation energy = -1.748 eV/atom; size of the total moment = 0.00 μB/atom
1.0
8.408 0.000 0.000
-4.204 7.282 -0.025
0.000 -4.831 6.926
Sm Se Th Pr
1 8 3 3
Direct
0.000 0.000 0.500
0.253 0.506 0.749
0.251 0.502 0.252
0.256 0.003 0.251
0.747 0.494 0.251
0.747 0.003 0.251
0.253 0.997 0.749
0.744 0.997 0.749
0.749 0.498 0.748
0.500 0.500 0.500
0.000 0.500 0.500
0.500 0.000 0.500
0.000 0.500 0.000
0.000 0.000 0.000
0.500 0.500 0.000

=====

Ge2MoAu, optimized geometry, DFT PBE; size of the total moment = 0.00 μB/atom; DFT formation energy = 0.04 eV per atom
1.0
3.038 0.000 0.000
1.519 2.631 0.000
1.519 0.877 8.977
Ge Au Mo
2 1 1
Direct
0.907 0.907 0.280
0.093 0.093 0.720
0.000 0.000 0.000
0.500 0.500 0.500

=====

MgCo2Ge2, optimized geometry, DFT PBE; size of the total moment = 0.00 μB/atom; DFT formation energy = -0.12 eV per atom
1.0
-5.352 4.514 0.519
-4.397 -4.944 -2.349
-0.452 -0.834 2.601
Ge Mg Co
4 2 4
Direct
0.856 0.644 0.000
0.356 0.856 0.000
0.144 0.356 0.000
0.644 0.144 0.000
0.500 0.500 0.000
0.000 0.000 0.000
0.351 0.149 0.500
0.149 0.649 0.500
0.649 0.851 0.500
0.851 0.351 0.500

=====

ScGaNi3, optimized geometry, DFT PBE; size of the total moment = 0.00 μB/atom; DFT formation energy = -0.29 eV per atom
1.0
4.753 0.000 0.000
0.000 4.527 0.000
-2.377 0.000 6.775
Ni Ga Sc
6 2 2
Direct
0.613 0.250 0.751
0.862 0.750 0.249
0.000 0.500 0.000
0.387 0.750 0.249
0.138 0.250 0.751
0.000 0.000 0.000
0.567 0.250 0.134
0.433 0.750 0.866
0.804 0.750 0.607
0.196 0.250 0.393

=====

HoTm12Te7, optimized geometry, DFT PBE; raw formation energy = -0.694 eV/atom; size of the total moment = 0.00 μB/atom
1.0
9.190 -0.223 -0.334
-2.769 8.766 -0.334
-2.769 -3.685 7.961
Tm Te Ho
12 7 1
Direct
0.716 0.299 0.086
0.137 0.426 0.467
0.574 0.533 0.863
0.533 0.863 0.574
0.701 0.914 0.284
0.299 0.086 0.716
0.914 0.284 0.701
0.467 0.137 0.426
0.426 0.467 0.137
0.086 0.716 0.299
0.863 0.574 0.533
0.284 0.701 0.914
0.634 0.909 0.935
0.091 0.065 0.366
0.500 0.500 0.500
0.909 0.935 0.634
0.065 0.366 0.091
0.366 0.091 0.065
0.935 0.634 0.909
0.000 0.000 0.000

=====

SiNF2, optimized geometry, DFT PBE; raw formation energy = 0.342 eV/atom; size of the total moment = 0.75 μB/atom
1.0
3.067 -0.904 2.479
-0.083 1.232 3.853
-0.528 -2.692 2.974
Si F N
1 2 1
Direct
0.500 0.500 0.500
0.250 0.250 0.250
0.750 0.750 0.750
0.000 0.000 0.000

=====

Sc2TiAl2Ni5, optimized geometry, DFT PBE; size of the total moment = 0.00 μB/atom; DFT formation energy = -0.46 eV per atom
1.0
3.244 0.000 0.000
0.000 9.438 0.000
0.000 0.000 9.438
Sc Ni Al Ti
4 10 4 2
Direct
0.000 0.327 0.827
0.000 0.827 0.673
0.000 0.673 0.173
0.000 0.173 0.327
0.500 0.450 0.301
0.500 0.500 0.000
0.500 0.050 0.801
0.500 0.950 0.199
0.500 0.000 0.500
0.500 0.699 0.450
0.500 0.550 0.699
0.500 0.801 0.950
0.500 0.301 0.550
0.500 0.199 0.050
0.000 0.127 0.627
0.000 0.373 0.127
0.000 0.627 0.873
0.000 0.873 0.373
0.000 0.000 0.000
0.000 0.500 0.500

=====

Y12Ho5Er, optimized geometry, DFT PBE; size of the total moment = 0.00 μB/atom; DFT formation energy = 0.03 eV per atom
1.0
15.071 -0.007 0.020
7.532 7.548 0.010
-0.007 0.000 5.023
Y Ho Er
12 5 1
Direct
0.501 0.667 0.500
0.668 0.333 0.000
0.332 0.667 0.000
0.165 0.000 0.500
0.334 0.000 0.000
0.666 0.000 0.000
0.168 0.333 0.500
0.832 0.667 0.500
0.999 0.333 0.000
0.499 0.333 0.500
0.001 0.667 0.000
0.835 0.000 0.500
0.167 0.667 0.500
0.500 0.000 0.500
0.333 0.333 0.000
0.833 0.333 0.500
0.667 0.667 0.000
0.000 0.000 0.000